#a
Density functional theory data (PBE) for Hf3TaCu after structural relaxation.

Properties
spin magnetization: 0.0 Bohr magnetons per cell

a b c (Å): 4.801 4.801 4.801
angles (deg): 90.00 90.00 90.00
Space group Pm-3m (No. 221)
Unique sites:
Hf  0.000  0.000  0.500 (multiplicity 3)
Ta  0.500  0.500  0.500 (multiplicity 1)
Cu  0.000  0.000  0.000 (multiplicity 1)

=====

#b
Density functional theory data (PBE) for Hf3TaCu after structural relaxation.

Properties
spin magnetization: 0.0 Bohr magnetons per cell

a b c (Å): 5.073 5.073 5.073
angles (deg): 90.00 90.00 90.00
Space group Pm-3m (No. 221)
Unique sites:
Hf  0.000  0.000  0.500 (multiplicity 3)
Ta  0.000  0.000  0.000 (multiplicity 1)
Cu  0.500  0.500  0.500 (multiplicity 1)

=====

Which of them is most stable, and which least? Most stable: #a; least stable: #b.